# Ac4Ag2Os | Alexandria via LeMat-Bulk | PBE | relaxed
data_Ac4Ag2Os
_chemical_formula_sum 'Ac4 Ag2 Os1'
_space_group_name_H-M_alt 'P 1'
_space_group_IT_number 1
_space_group_name_Hall 'P 1'
_cell_length_a 5.7796
_cell_length_b 5.7796
_cell_length_c 8.9014
_cell_angle_alpha 108.94
_cell_angle_beta 108.94
_cell_angle_gamma 90.00
loop_
_atom_site_label
_atom_site_type_symbol
_atom_site_fract_x
_atom_site_fract_y
_atom_site_fract_z
_atom_site_occupancy
Ac1 Ac 0.8154 0.8154 0.6307 1
Ac2 Ac 0.1846 0.1846 0.3693 1
Ac3 Ac 0.0000 0.5000 0.0000 1
Ac4 Ac 0.5000 0.0000 0.0000 1
Os1 Os 0.0000 0.0000 0.0000 1
Ag1 Ag 0.6139 0.6139 0.2279 1
Ag2 Ag 0.3861 0.3861 0.7721 1
# E above lowest polymorph (kJ per mole of atoms): 14.71
# Crystal system: tetragonal
# Final energy (eV/atom): -4.77
# Formation energy from the elements (eV/atom): 0.00



# Ac5Ag2Os | Alexandria via LeMat-Bulk | PBE | relaxed
data_Ac5Ag2Os
_chemical_formula_sum 'Ac10 Ag4 Os2'
_space_group_name_H-M_alt 'P 1'
_space_group_IT_number 1
_space_group_name_Hall 'P 1'
_cell_length_a 4.4937
_cell_length_b 9.5844
_cell_length_c 13.0303
_cell_angle_alpha 90.00
_cell_angle_beta 90.00
_cell_angle_gamma 90.00
loop_
_atom_site_label
_atom_site_type_symbol
_atom_site_fract_x
_atom_site_fract_y
_atom_site_fract_z
_atom_site_occupancy
Ac1 Ac 0.0000 0.0000 0.5000 1
Ac2 Ac 0.0000 0.5000 0.0000 1
Ac3 Ac 0.0000 0.8595 0.1997 1
Ac4 Ac 0.0000 0.1405 0.8003 1
Ac5 Ac 0.0000 0.6405 0.6997 1
Ac6 Ac 0.0000 0.3595 0.3003 1
Ac7 Ac 0.5000 0.6760 0.4265 1
Ac8 Ac 0.5000 0.3240 0.5735 1
Ac9 Ac 0.5000 0.8240 0.9265 1
Ac10 Ac 0.5000 0.1760 0.0735 1
Ag1 Ag 0.5000 0.5789 0.1738 1
Ag2 Ag 0.5000 0.4211 0.8262 1
Ag3 Ag 0.5000 0.9211 0.6738 1
Ag4 Ag 0.5000 0.0789 0.3262 1
Os1 Os 0.0000 0.5000 0.5000 1
Os2 Os 0.0000 0.0000 0.0000 1
# Crystal system: orthorhombic
# Final energy (eV/atom): -4.85
# Formation energy from the elements (eV/atom): -0.17



# Ac8Ag2Os3 | Alexandria via LeMat-Bulk | PBE | relaxed
data_Ac8Ag2Os3
_chemical_formula_sum 'Ac8 Ag2 Os3'
_space_group_name_H-M_alt 'P 1'
_space_group_IT_number 1
_space_group_name_Hall 'P 1'
_cell_length_a 7.6466
_cell_length_b 8.4623
_cell_length_c 8.4623
_cell_angle_alpha 62.85
_cell_angle_beta 89.98
_cell_angle_gamma 89.98
loop_
_atom_site_label
_atom_site_type_symbol
_atom_site_fract_x
_atom_site_fract_y
_atom_site_fract_z
_atom_site_occupancy
Ac1 Ac 0.8589 0.3840 0.3840 1
Ac2 Ac 0.1411 0.6160 0.6160 1
Ac3 Ac 0.8348 0.8920 0.8920 1
Ac4 Ac 0.1652 0.1080 0.1080 1
Ac5 Ac 0.6739 0.3519 0.8638 1
Ac6 Ac 0.6739 0.8638 0.3519 1
Ac7 Ac 0.3261 0.1362 0.6481 1
Ac8 Ac 0.3261 0.6481 0.1362 1
Ag1 Ag 0.4986 0.7487 0.7487 1
Ag2 Ag 0.5014 0.2513 0.2513 1
Os1 Os 0.5000 0.0000 0.0000 1
Os2 Os 0.0000 0.7419 0.2581 1
Os3 Os 0.0000 0.2581 0.7419 1
# Crystal system: monoclinic
# Final energy (eV/atom): -5.61
# Formation energy from the elements (eV/atom): -0.05



# AcPrAgOs | Alexandria via LeMat-Bulk | PBE | relaxed
data_AcPrAgOs
_chemical_formula_sum 'Ac1 Pr1 Ag1 Os1'
_space_group_name_H-M_alt 'P 1'
_space_group_IT_number 1
_space_group_name_Hall 'P 1'
_cell_length_a 5.2582
_cell_length_b 5.2582
_cell_length_c 5.2582
_cell_angle_alpha 60.00
_cell_angle_beta 60.00
_cell_angle_gamma 60.00
loop_
_atom_site_label
_atom_site_type_symbol
_atom_site_fract_x
_atom_site_fract_y
_atom_site_fract_z
_atom_site_occupancy
Pr1 Pr 0.0000 0.0000 0.0000 1
Ac1 Ac 0.5000 0.5000 0.5000 1
Os1 Os 0.7500 0.7500 0.7500 1
Ag1 Ag 0.2500 0.2500 0.2500 1
# Crystal system: cubic
# Final energy (eV/atom): -5.75
# Formation energy from the elements (eV/atom): -0.01



# AcScAgOs | Alexandria via LeMat-Bulk | PBE | relaxed
data_AcScAgOs
_chemical_formula_sum 'Ac1 Sc1 Ag1 Os1'
_space_group_name_H-M_alt 'P 1'
_space_group_IT_number 1
_space_group_name_Hall 'P 1'
_cell_length_a 5.0490
_cell_length_b 5.0490
_cell_length_c 5.0490
_cell_angle_alpha 60.00
_cell_angle_beta 60.00
_cell_angle_gamma 60.00
loop_
_atom_site_label
_atom_site_type_symbol
_atom_site_fract_x
_atom_site_fract_y
_atom_site_fract_z
_atom_site_occupancy
Sc1 Sc 0.5000 0.5000 0.5000 1
Ac1 Ac 0.0000 0.0000 0.0000 1
Os1 Os 0.7500 0.7500 0.7500 1
Ag1 Ag 0.2500 0.2500 0.2500 1
# Crystal system: cubic
# Final energy (eV/atom): -6.13
# Formation energy from the elements (eV/atom): 0.00



# AcTbAgOs | Alexandria via LeMat-Bulk | PBE | relaxed
data_AcTbAgOs
_chemical_formula_sum 'Ac1 Tb1 Ag1 Os1'
_space_group_name_H-M_alt 'P 1'
_space_group_IT_number 1
_space_group_name_Hall 'P 1'
_cell_length_a 5.1743
_cell_length_b 5.1743
_cell_length_c 5.1743
_cell_angle_alpha 60.00
_cell_angle_beta 60.00
_cell_angle_gamma 60.00
loop_
_atom_site_label
_atom_site_type_symbol
_atom_site_fract_x
_atom_site_fract_y
_atom_site_fract_z
_atom_site_occupancy
Tb1 Tb 0.7500 0.7500 0.7500 1
Ac1 Ac 0.2500 0.2500 0.2500 1
Os1 Os 0.0000 0.0000 0.0000 1
Ag1 Ag 0.5000 0.5000 0.5000 1
# Crystal system: cubic
# Final energy (eV/atom): -5.76
# Formation energy from the elements (eV/atom): -0.06



# AcTmAgOs | Alexandria via LeMat-Bulk | PBE | relaxed
data_AcTmAgOs
_chemical_formula_sum 'Ac1 Tm1 Ag1 Os1'
_space_group_name_H-M_alt 'P 1'
_space_group_IT_number 1
_space_group_name_Hall 'P 1'
_cell_length_a 5.1373
_cell_length_b 5.1373
_cell_length_c 5.1373
_cell_angle_alpha 60.00
_cell_angle_beta 60.00
_cell_angle_gamma 60.00
loop_
_atom_site_label
_atom_site_type_symbol
_atom_site_fract_x
_atom_site_fract_y
_atom_site_fract_z
_atom_site_occupancy
Ac1 Ac 0.5000 0.5000 0.5000 1
Tm1 Tm 0.0000 0.0000 0.0000 1
Os1 Os 0.7500 0.7500 0.7500 1
Ag1 Ag 0.2500 0.2500 0.2500 1
# Crystal system: cubic
# Final energy (eV/atom): -5.73
# Formation energy from the elements (eV/atom): -0.06



# AcYAgOs | Alexandria via LeMat-Bulk | PBE | relaxed
data_AcYAgOs
_chemical_formula_sum 'Ac1 Y1 Ag1 Os1'
_space_group_name_H-M_alt 'P 1'
_space_group_IT_number 1
_space_group_name_Hall 'P 1'
_cell_length_a 5.1712
_cell_length_b 5.1712
_cell_length_c 5.1712
_cell_angle_alpha 60.00
_cell_angle_beta 60.00
_cell_angle_gamma 60.00
loop_
_atom_site_label
_atom_site_type_symbol
_atom_site_fract_x
_atom_site_fract_y
_atom_site_fract_z
_atom_site_occupancy
Y1 Y 0.7500 0.7500 0.7500 1
Ac1 Ac 0.2500 0.2500 0.2500 1
Os1 Os 0.0000 0.0000 0.0000 1
Ag1 Ag 0.5000 0.5000 0.5000 1
# Crystal system: cubic
# Final energy (eV/atom): -6.22
# Formation energy from the elements (eV/atom): -0.06



Please write out number 8 again, unchanged.
# AcYAgOs | Alexandria via LeMat-Bulk | PBE | relaxed
data_AcYAgOs
_chemical_formula_sum 'Ac1 Y1 Ag1 Os1'
_space_group_name_H-M_alt 'P 1'
_space_group_IT_number 1
_space_group_name_Hall 'P 1'
_cell_length_a 5.1712
_cell_length_b 5.1712
_cell_length_c 5.1712
_cell_angle_alpha 60.00
_cell_angle_beta 60.00
_cell_angle_gamma 60.00
loop_
_atom_site_label
_atom_site_type_symbol
_atom_site_fract_x
_atom_site_fract_y
_atom_site_fract_z
_atom_site_occupancy
Y1 Y 0.7500 0.7500 0.7500 1
Ac1 Ac 0.2500 0.2500 0.2500 1
Os1 Os 0.0000 0.0000 0.0000 1
Ag1 Ag 0.5000 0.5000 0.5000 1
# Crystal system: cubic
# Final energy (eV/atom): -6.22
# Formation energy from the elements (eV/atom): -0.06